## Cr2AgHgF (PBE with a Hubbard U)

Data for crystalline Cr2AgHgF at its relaxed geometry.

Geometry as POSCAR:
```
Cr2AgHgF
1.0
4.3450 0.0000 0.0000
0.0000 4.3450 0.0000
0.0000 0.0000 5.0782
Cr Ag Hg F
2 1 1 1
Cartesian
0.0000 2.1725 0.0000
2.1725 0.0000 0.0000
0.0000 0.0000 2.5391
2.1725 2.1725 2.5391
0.0000 0.0000 0.0000
```

## Properties
- total magnetization (μB per formula unit) = 9.15
- space group = P4/mmm
- density (g/cm3) = 7.5
- energy (eV per atom) = -4.169
- DOS at the Fermi energy (states/eV/atom) = 0.558